<P>
## K3HfIr (PBE)

Data for an optimized crystal structure of K3HfIr.

Cell lengths 6.4766, 6.4766, 6.4766 Å; angles 90.00, 90.00, 90.00 degrees
Fractional positions:
K1 0.0000 0.0000 0.5000
K2 0.0000 0.5000 0.0000
K3 0.5000 0.0000 0.0000
Hf1 0.0000 0.0000 0.0000
Ir1 0.5000 0.5000 0.5000

Computed properties:
**Mass density**: 2.983 g cm⁻³

---

<Q>
## K3HfIr (PBE)

Data for an optimized crystal structure of K3HfIr.

Cell lengths 6.0147, 6.0147, 6.0147 Å; angles 90.00, 90.00, 90.00 degrees
Fractional positions:
K1 0.0000 0.0000 0.5000
K2 0.0000 0.5000 0.0000
K3 0.5000 0.0000 0.0000
Hf1 0.5000 0.5000 0.5000
Ir1 0.0000 0.0000 0.0000

Computed properties:
**Mass density**: 3.724 g cm⁻³

---

If we sort the structures by their calculated energies, the order from most to least stable is <Q>, <P>.